# Fe3Se5, relaxed, DFT PBE
data_Fe3Se5
_cell_length_a 7.421
_cell_length_b 11.917
_cell_length_c 3.431
_cell_angle_alpha 90.00
_cell_angle_beta 90.00
_cell_angle_gamma 90.00
_symmetry_space_group_name_H-M 'C m m m'
_symmetry_Int_Tables_number 65
_symmetry_space_group_name_Hall '-C 2 2'
loop_
_atom_site_label
_atom_site_fract_x
_atom_site_fract_y
_atom_site_fract_z
_atom_site_occupancy
Fe1 0.000 0.000 0.000 1
Fe2 0.000 0.169 0.500 1
Se1 0.000 0.500 0.000 1
Se2 0.221 0.000 0.500 1
Se3 0.250 0.250 0.000 1
# E_tot	-0.187	hartree per atom
# formation energy from raw total energies	0.251	eV/atom
# ΔE to the lowest computed polymorph	0	meV per atom